Entry 1:
NaAgCl2 | Alexandria | SCAN | PBEsol geometry; SG = No. 122; N(E_F) = 0.00 states/eV per cell; crystal system = tetragonal; energy above the most stable polymorph in this dataset = 2.6 meV/atom; E_tot = -14.0944 eV/atom
1.0
-3.015 3.015 5.971
3.015 -3.015 5.971
3.015 3.015 -5.971
Na Ag Cl
2 2 4
Cartesian
0.000 0.000 0.000
0.000 3.015 2.986
3.015 0.000 2.986
0.000 0.000 5.971
1.508 -1.404 4.478
1.611 1.508 1.493
1.508 4.419 -1.493
1.404 1.508 7.464

=====

Entry 2:
Sr2ZnBr | Alexandria | SCAN | PBEsol geometry; SG = No. 166; N(E_F) = 2.20 states/eV per cell; crystal system = trigonal; E_tot = -20.3114 eV/atom
1.0
2.139 1.235 8.223
-2.139 1.235 8.223
0.000 -2.470 8.223
Sr Zn Br
2 1 1
Cartesian
0.000 0.000 6.051
0.000 0.000 18.618
0.000 0.000 12.334
0.000 0.000 0.000

=====

Entry 3:
RbAl2AuS | Alexandria | SCAN | PBEsol geometry; SG = No. 123; N(E_F) = 1.59 states/eV per cell; crystal system = tetragonal; E_tot = -21.3784 eV/atom
1.0
5.991 0.000 0.000
0.000 5.991 0.000
0.000 0.000 5.371
Rb Al Au S
1 2 1 1
Cartesian
0.000 0.000 0.000
0.000 2.996 0.000
2.996 0.000 0.000
0.000 0.000 2.686
2.996 2.996 2.686

=====

Entry 4:
Li3VOF5 | Alexandria | SCAN | PBEsol geometry; SG = No. 44; N(E_F) = 0.00 states/eV per cell; crystal system = orthorhombic; energy above the most stable polymorph in this dataset = 97.3 meV/atom; E_tot = -7.8271 eV/atom
1.0
-3.146 3.157 3.026
3.146 -3.157 3.026
3.146 3.157 -3.026
Li V O F
3 1 1 5
Cartesian
0.000 0.000 0.000
3.146 1.783 0.424
0.000 1.374 3.450
0.000 3.157 1.014
3.146 0.000 2.431
3.146 1.892 -1.654
0.000 1.265 1.372
1.960 3.157 1.267
1.187 0.000 4.292
0.000 3.157 3.019

=====

Entry 5:
CaBeAs2 | Alexandria | SCAN | PBEsol geometry; SG = No. 25; N(E_F) = 1.42 states/eV per cell; crystal system = orthorhombic; DFT formation energy = -210 meV/atom; E_tot = -13.8093 eV/atom
1.0
3.009 0.000 0.000
0.000 3.608 0.000
0.000 0.000 7.614
Ca Be As
1 1 2
Cartesian
0.000 0.000 0.000
1.504 1.804 3.715
0.000 0.000 2.885
1.504 1.804 5.939

=====

Entry 6:
InCuSb2Te | Alexandria | SCAN | PBEsol geometry; SG = No. 123; N(E_F) = 3.69 states/eV per cell; crystal system = tetragonal; E_tot = -31.6958 eV/atom
1.0
5.014 0.000 0.000
0.000 5.014 0.000
0.000 0.000 5.313
In Cu Sb Te
1 1 2 1
Cartesian
0.000 0.000 0.000
2.507 2.507 2.657
0.000 2.507 2.657
2.507 0.000 2.657
2.507 2.507 0.000

=====

| no. | calculated volume (Å³ per atom) |
| --- | --- |
| 1 | 27.14 |
| 2 | 32.57 |
| 3 | 38.56 |
| 4 | 12.02 |
| 5 | 20.66 |
| 6 | 26.72 |